1.
# Te3Mo

A relaxed structure of Te3Mo (GGA-PBE, the Alexandria database).

Unit cell a=4.6890 b=4.6890 c=4.6890 alpha=90.00 beta=90.00 gamma=90.00
Atoms (fractional coordinates):
Te 0.0000 0.0000 0.5000
Te 0.0000 0.5000 0.0000
Te 0.5000 0.0000 0.0000
Mo 0.5000 0.5000 0.5000

Results
Raw formation energy, eV per atom: 0.908
Density, g/cm³: 7.71

2.
# K2NaSrI

A relaxed structure of K2NaSrI (GGA-PBE, the Alexandria database).

Unit cell a=6.7853 b=6.7853 c=6.6893 alpha=90.00 beta=90.00 gamma=90.00
Atoms (fractional coordinates):
K 0.0000 0.5000 0.0000
K 0.5000 0.0000 0.0000
Na 0.0000 0.0000 0.5000
Sr 0.5000 0.5000 0.5000
I 0.5000 0.5000 0.0000

Results
Raw formation energy, eV per atom: -0.345
Density, g/cm³: 1.70

3.
# Nb2Ru2Rh

A relaxed structure of Nb2Ru2Rh (GGA-PBE, the Alexandria database).

Unit cell a=7.2562 b=7.2562 c=3.0940 alpha=90.00 beta=90.00 gamma=90.00
Atoms (fractional coordinates):
Nb 0.1690 0.3310 0.0000
Nb 0.3310 0.8310 0.0000
Nb 0.6690 0.1690 0.0000
Nb 0.8310 0.6690 0.0000
Ru 0.1326 0.6326 0.5000
Ru 0.3674 0.1326 0.5000
Ru 0.6326 0.8674 0.5000
Ru 0.8674 0.3674 0.5000
Rh 0.0000 0.0000 0.5000
Rh 0.5000 0.5000 0.5000

Results
Density, g/cm³: 10.01
E above lowest polymorph, meV per atom: 0
Energy of formation from the pure elements, kJ/mol of formula units: -41

4.
# Tc2HgRu2

A relaxed structure of Tc2HgRu2 (GGA-PBE, the Alexandria database).

Unit cell a=6.2195 b=6.2195 c=6.2195 alpha=143.13 beta=143.13 gamma=53.14
Atoms (fractional coordinates):
Tc 0.1072 0.1072 0.0000
Tc 0.8928 0.8928 0.0000
Hg 0.5000 0.5000 0.0000
Ru 0.2500 0.7500 0.5000
Ru 0.7500 0.2500 0.5000

Results
Density, g/cm³: 11.55
E above lowest polymorph, meV per atom: 218
Energy of formation from the pure elements, kJ/mol of formula units: 246

5.
# Rb2HfHgBr6

A relaxed structure of Rb2HfHgBr6 (GGA-PBE, the Alexandria database).

Unit cell a=20.0874 b=20.0874 c=20.0874 alpha=21.96 beta=21.96 gamma=21.96
Atoms (fractional coordinates):
Rb 0.1451 0.1451 0.1451
Rb 0.3120 0.3120 0.3120
Rb 0.6880 0.6880 0.6880
Rb 0.8549 0.8549 0.8549
Hf 0.0000 0.0000 0.0000
Hf 0.5000 0.5000 0.5000
Hg 0.4158 0.4158 0.4158
Hg 0.5842 0.5842 0.5842
Br 0.1513 0.6354 0.6354
Br 0.1872 0.1872 0.7035
Br 0.1872 0.7035 0.1872
Br 0.2965 0.8128 0.8128
Br 0.3646 0.3646 0.8487
Br 0.3646 0.8487 0.3646
Br 0.6354 0.1513 0.6354
Br 0.6354 0.6354 0.1513
Br 0.7035 0.1872 0.1872
Br 0.8128 0.2965 0.8128
Br 0.8128 0.8128 0.2965
Br 0.8487 0.3646 0.3646

Results
Raw formation energy, eV per atom: -1.426
Density, g/cm³: 3.44
E above lowest polymorph, meV per atom: 0

6.
# Tb4HgSb2

A relaxed structure of Tb4HgSb2 (GGA-PBE, the Alexandria database).

Unit cell a=8.1006 b=8.1006 c=7.5474 alpha=116.83 beta=116.83 gamma=30.20
Atoms (fractional coordinates):
Tb 0.1159 0.1159 0.2609
Tb 0.3783 0.3783 0.1750
Tb 0.6217 0.6217 0.8250
Tb 0.8841 0.8841 0.7391
Hg 0.0000 0.0000 0.5000
Sb 0.2403 0.2403 0.7288
Sb 0.7597 0.7597 0.2712

Results
Raw formation energy, eV per atom: -0.614
Density, g/cm³: 8.14

7.
# SrNbTeSe2

A relaxed structure of SrNbTeSe2 (GGA-PBE, the Alexandria database).

Unit cell a=5.5121 b=5.5121 c=6.5818 alpha=90.00 beta=90.00 gamma=90.00
Atoms (fractional coordinates):
Sr 0.0000 0.0000 0.0000
Nb 0.0000 0.0000 0.5000
Te 0.5000 0.5000 0.5000
Se 0.0000 0.5000 0.0000
Se 0.5000 0.0000 0.0000

Results
Raw formation energy, eV per atom: 1.019
Density, g/cm³: 3.87
E above lowest polymorph, meV per atom: 1898

8.
# SbRhBr

A relaxed structure of SbRhBr (GGA-PBE, the Alexandria database).

Unit cell a=3.8584 b=3.8584 c=5.5940 alpha=90.00 beta=90.00 gamma=120.00
Atoms (fractional coordinates):
Sb 0.0000 0.0000 0.0000
Rh 0.3333 0.6667 0.7718
Br 0.6667 0.3333 0.4805

Results
Raw formation energy, eV per atom: -0.237
Density, g/cm³: 7.01
E above lowest polymorph, meV per atom: 44